[1]
Here is a PBEsol-optimized structure of ZnAsRu from Alexandria via LeMat-Bulk. Energies are from meta-GGA SCAN.

Calculated values
As for the volume: 47.3 Å³/f.u. As for the formation energy from the elements: 0.15 eV/atom. The calculated total energy comes out at -272.36 eV for the cell shown. For the spin magnetization, the calculation gives 0.000 μB per formula unit.

Lattice parameters (Å, degrees): 5.742 5.742 5.742 90.00 90.00 90.00
Space group F-43m (No. 216)
Asymmetric unit:
Zn1 0.000 0.000 0.000 [4 per cell]
As1 0.250 0.250 0.250 [4 per cell]
Ru1 0.000 0.000 0.500 [4 per cell]

=====

[2]
Here is a PBEsol-optimized structure of LaYCu from Alexandria via LeMat-Bulk. Energies are from meta-GGA SCAN.

Calculated values
As for the volume: 76.8 Å³/f.u. As for the formation energy from the elements: -0.12 eV/atom. The calculated total energy comes out at -173.03 eV for the cell shown. For the spin magnetization, the calculation gives 0.040 μB per formula unit.

Lattice parameters (Å, degrees): 3.524 3.524 12.361 90.00 90.00 90.00
Space group I4mm (No. 107)
Asymmetric unit:
La1 0.000 0.000 0.000 [2 per cell]
Y1 0.000 0.000 0.274 [2 per cell]
Cu1 0.000 0.000 0.655 [2 per cell]

=====

[3]
Here is a PBEsol-optimized structure of CdMoN2F from Alexandria via LeMat-Bulk. Energies are from meta-GGA SCAN.

Calculated values
As for the volume: 69.0 Å³/f.u. The calculated total energy comes out at -81.18 eV for the cell shown. The uncorrected formation energy is 1.25 eV per atom. For the spin magnetization, the calculation gives 1.999 μB per formula unit.

Lattice parameters (Å, degrees): 4.124 4.124 4.061 90.00 90.00 90.00
Space group P4/mmm (No. 123)
Asymmetric unit:
Cd1 0.000 0.000 0.000 [1 per cell]
Mo1 0.500 0.500 0.500 [1 per cell]
N1 0.000 0.500 0.000 [2 per cell]
F1 0.000 0.000 0.500 [1 per cell]

=====

> spin magnetization of number 2 (LaYCu)?

0.040 μB per formula unit

=====

> Which value of spin magnetization does entry 3 give?

1.999 μB per formula unit

=====

> What is the spin magnetization in the third record?

1.999 μB per formula unit

=====

Please write out number 1 again, unchanged.
Here is a PBEsol-optimized structure of ZnAsRu from Alexandria via LeMat-Bulk. Energies are from meta-GGA SCAN.

Calculated values
As for the volume: 47.3 Å³/f.u. As for the formation energy from the elements: 0.15 eV/atom. The calculated total energy comes out at -272.36 eV for the cell shown. For the spin magnetization, the calculation gives 0.000 μB per formula unit.

Lattice parameters (Å, degrees): 5.742 5.742 5.742 90.00 90.00 90.00
Space group F-43m (No. 216)
Asymmetric unit:
Zn1 0.000 0.000 0.000 [4 per cell]
As1 0.250 0.250 0.250 [4 per cell]
Ru1 0.000 0.000 0.500 [4 per cell]